Material: LaNdSiCl2
Method: DFT, PBE-GGA
State: relaxed Values from VASP.

Summary:
uncorrected energy: -5.357 eV per atom

Quantum ESPRESSO input file:
```
&SYSTEM
  ibrav = 0, nat = 5, ntyp = 4
/
ATOMIC_SPECIES
La 138.91 La.upf
Nd 144.24 Nd.upf
Si 28.09 Si.upf
Cl 35.45 Cl.upf
CELL_PARAMETERS angstrom
4.294 0.000 0.000
-2.147 3.718 0.000
0.000 0.000 9.850
ATOMIC_POSITIONS crystal
La 0.000 0.000 0.000
Nd 0.333 0.667 0.655
Si 0.667 0.333 0.825
Cl 0.000 0.000 0.498
Cl 0.333 0.667 0.160
```